(P)
{"formula": "Cd3CoGe", "functional": "GGA-PBE", "state": "relaxed", "magnetic_moment_mub_per_fu": 1.92, "lattice_angstrom": [[5.170, 0.000, 0.000], [0.000, 5.170, 0.000], [0.000, 0.000, 5.170]], "species": ["Cd", "Cd", "Cd", "Co", "Ge"], "fractional_positions": [[0.000, 0.000, 0.500], [0.000, 0.500, 0.000], [0.500, 0.000, 0.000], [0.500, 0.500, 0.500], [0.000, 0.000, 0.000]]}

(Q)
{"formula": "Cd3CoGe", "functional": "GGA-PBE", "state": "relaxed", "magnetic_moment_mub_per_fu": 1.02, "lattice_angstrom": [[4.925, 0.000, 0.000], [0.000, 4.925, 0.000], [0.000, 0.000, 4.925]], "species": ["Cd", "Cd", "Cd", "Co", "Ge"], "fractional_positions": [[0.000, 0.000, 0.500], [0.000, 0.500, 0.000], [0.500, 0.000, 0.000], [0.000, 0.000, 0.000], [0.500, 0.500, 0.500]]}

The least stable of them is (P).

(P)
{"formula": "CdCoGe2P", "functional": "GGA-PBE", "state": "relaxed", "magnetic_moment_mub_per_fu": 0.00, "lattice_angstrom": [[4.732, 0.000, 0.000], [0.000, 3.536, 0.000], [-1.350, 0.000, 5.474]], "species": ["Cd", "Co", "Ge", "Ge", "P"], "fractional_positions": [[0.000, 0.000, 0.000], [0.083, 0.500, 0.384], [0.399, 0.000, 0.650], [0.528, 0.500, 0.230], [0.864, 0.000, 0.501]]}

(Q)
{"formula": "CdCoGe2P", "functional": "GGA-PBE", "state": "relaxed", "magnetic_moment_mub_per_fu": 0.00, "lattice_angstrom": [[4.391, 0.000, 0.000], [-0.221, 4.395, 0.000], [-0.171, -1.134, 4.630]], "species": ["Cd", "Co", "Ge", "Ge", "P"], "fractional_positions": [[0.000, 0.000, 0.000], [0.445, 0.656, 0.747], [0.507, 0.723, 0.256], [0.959, 0.451, 0.500], [0.539, 0.153, 0.673]]}

(R)
{"formula": "CdCoGe2P", "functional": "GGA-PBE", "state": "relaxed", "magnetic_moment_mub_per_fu": 0.00, "lattice_angstrom": [[5.456, 0.000, 0.000], [0.000, 2.965, 0.000], [-1.938, 0.000, 5.314]], "species": ["Cd", "Co", "Ge", "Ge", "P"], "fractional_positions": [[0.000, 0.000, 0.000], [0.508, 0.000, 0.670], [0.130, 0.500, 0.473], [0.474, 0.500, 0.015], [0.683, 0.500, 0.488]]}

(S)
{"formula": "CdCoGe2P", "functional": "GGA-PBE", "state": "relaxed", "magnetic_moment_mub_per_fu": 0.26, "lattice_angstrom": [[5.363, 0.000, 0.000], [0.000, 2.836, 0.000], [-0.052, 0.000, 5.934]], "species": ["Cd", "Co", "Ge", "Ge", "P"], "fractional_positions": [[0.000, 0.000, 0.000], [0.751, 0.500, 0.656], [0.082, 0.000, 0.479], [0.565, 0.000, 0.337], [0.469, 0.000, 0.771]]}

The least stable of them is (P).